[1]
CoRe2As | PBE | relaxed

The calculation puts the raw total energy at -8.700 eV per atom. The value obtained for the spin magnetization is 1.3 μB per formula unit.

The structure belongs to space group Cmm2 (No. 35); the cell edges are 2.919, 4.626 and 8.686 Å and the angles 90.00°, 90.00° and 90.00°. The inequivalent atoms are Co at (0.000, 0.000, 0.000), Re at (0.000, 0.000, 0.506), Re at (0.000, 0.500, 0.757) and As at (0.000, 0.500, 0.226).

---

[2]
Mn2TcCl | PBE | relaxed

Its distance to the lowest polymorph of the same formula is 0.609 eV per atom. The calculation puts the raw total energy at -6.945 eV per atom. The value obtained for the spin magnetization is 5.9 μB per formula unit.

The structure belongs to space group P2/m (No. 10); the cell edges are 4.411, 2.898 and 4.594 Å and the angles 90.00°, 94.03° and 90.00°. The inequivalent atoms are Mn at (0.000, 0.000, 0.000), Mn at (0.000, 0.500, 0.500), Tc at (0.500, 0.000, 0.500) and Cl at (0.500, 0.500, 0.000).